[1]
Crystalline Sc2Co5SiB2 at its relaxed geometry. Source: Alexandria via LeMat-Bulk, functional PBE.

Results
space-group type: P4/mbm, No. 127
E: -7.32 eV/atom
total magnetization: 0.0 Bohr magnetons per cell

The structure in extended XYZ format:
```
20
Lattice="8.624 0.000 0.000 0.000 8.624 0.000 0.000 0.000 2.949" Properties=species:S:1:pos:R:3 pbc="T T T"
Sc 1.518 2.794 0.000
Sc 2.794 7.106 0.000
Sc 5.830 1.518 0.000
Sc 7.106 5.830 0.000
Co 0.000 4.312 1.474
Co 0.590 6.750 1.474
Co 1.874 0.590 1.474
Co 2.438 4.902 1.474
Co 3.722 2.438 1.474
Co 4.312 0.000 1.474
Co 4.902 6.186 1.474
Co 6.186 3.722 1.474
Co 6.750 8.034 1.474
Co 8.034 1.874 1.474
Si 0.000 0.000 0.000
Si 4.312 4.312 0.000
B 1.042 5.354 0.000
B 3.270 1.042 0.000
B 5.354 7.582 0.000
B 7.582 3.270 0.000
```

---

[2]
Crystalline CeSmCo at its relaxed geometry. Source: Alexandria via LeMat-Bulk, functional PBE.

Results
space-group type: P2_1/c, No. 14
E: -5.98 eV/atom
E_form: -0.062 eV per atom
total magnetization: 0.0 Bohr magnetons per cell
offset from the most stable computed form: 72 meV/atom

The structure in extended XYZ format:
```
12
Lattice="6.048 0.000 0.000 0.000 7.326 0.000 -2.710 0.000 6.650" Properties=species:S:1:pos:R:3 pbc="T T T"
Ce 0.114 1.033 2.969
Ce -1.242 2.630 6.294
Ce 4.580 4.696 0.356
Ce 3.225 6.293 3.681
Sm 0.130 4.783 3.863
Sm 1.485 6.206 0.538
Sm 1.853 1.120 6.112
Sm 3.209 2.543 2.787
Co -1.190 0.658 4.994
Co 0.165 3.005 1.669
Co 3.173 4.321 4.981
Co 4.528 6.668 1.656
```